# ZrFeP2Au

Crystalline ZrFeP2Au at its relaxed geometry (PBE, Alexandria via LeMat-Bulk). Values from VASP.

Cell and atoms, written as Quantum ESPRESSO input:
```
&SYSTEM
  ibrav = 0, nat = 5, ntyp = 4
/
ATOMIC_SPECIES
Zr 91.22 Zr.upf
Fe 55.84 Fe.upf
P 30.97 P.upf
Au 196.97 Au.upf
ATOMIC_POSITIONS crystal
Zr 0.000 0.000 0.000
Fe 0.000 0.000 0.500
P 0.000 0.500 0.000
P 0.500 0.000 0.000
Au 0.500 0.500 0.500
CELL_PARAMETERS angstrom
4.947 0.000 0.000
0.000 4.947 0.000
0.000 0.000 4.898
```

Values from the calculation:
Total magnetization ... 3.27 Bohr magnetons per cell
Raw total energy ... -5.22 eV per atom
Energy relative to the elements ... 1.003 eV/atom